12
Lattice="7.441 0.000 0.000 -3.720 6.102 0.000 0.000 0.000 6.275" Properties=species:S:1:pos:R:3 comment="PBE PrCCl, relaxed" crystal_system=orthorhombic total_magnetization_mub_per_atom=0.000 energy_ev_per_atom=-5.97 spacegroup="Cmce, No. 64" pbc="T T T"
C 3.720 0.036 3.784
C 3.720 6.066 0.646
C 0.000 6.066 2.491
C 0.000 0.036 5.628
Pr 1.860 1.455 1.569
Pr -1.860 4.647 4.706
Pr 1.860 4.647 4.706
Pr 5.580 1.455 1.569
Cl 3.720 3.524 2.887
Cl 3.720 2.578 6.024
Cl 0.000 2.578 3.388
Cl 0.000 3.524 0.251